This record from Alexandria via LeMat-Bulk describes crystalline Nb2Co3Ni at its relaxed geometry. The functional is PBE.

The energy above the most stable polymorph in this dataset comes out at 378 meV/atom. The value obtained for the density of states at the Fermi level is 6.209 states/eV/f.u. As for the calculated formation energy: 218 meV per atom. Its total energy is -7.655 eV per atom.

Lattice parameters (Å, degrees): 4.6551 6.5090 6.5090 119.80 90.00 90.00
Last column: nearest neighbours and their distance in Å.
Positions (direct):
Co (0.0000, 0.1895, 0.8105)  2 Co 2.33, 2 Ni 2.44, 4 Nb 2.49-2.51
Co (0.7500, 0.3926, 0.3926)  1 Ni 2.41, 2 Nb 2.41
Nb (0.2500, 0.4725, 0.1886)  5 Co 2.41-2.51
Nb (0.2500, 0.1886, 0.4725)  5 Co 2.41-2.51
Nb (0.7500, 0.8114, 0.5275)  5 Co 2.41-2.51
Co (0.5000, 0.8105, 0.1895)  2 Co 2.33, 2 Ni 2.44, 4 Nb 2.49-2.51
Co (0.2500, 0.6074, 0.6074)  1 Ni 2.41, 2 Nb 2.41
Co (0.0000, 0.8105, 0.1895)  2 Co 2.33, 2 Ni 2.44, 4 Nb 2.49-2.51
Nb (0.7500, 0.5275, 0.8114)  5 Co 2.41-2.51
Ni (0.7500, 0.0231, 0.0231)  2 Ni 2.35, 5 Co 2.41-2.44
Co (0.5000, 0.1895, 0.8105)  2 Co 2.33, 2 Ni 2.44, 4 Nb 2.49-2.51
Ni (0.2500, 0.9769, 0.9769)  2 Ni 2.35, 5 Co 2.41-2.44